Density functional theory data (PBE) for a geometry-optimized MgAl2Cu4Ni structure.

Summary:
The calculation puts the calculated total energy at -3.874 eV/atom. Its polymorph energy (0 for the lowest one) is 0 meV/atom.

Geometry as CIF:
```
data_MgAl2Cu4Ni
_space_group_name_H-M_alt 'I 41/a m d'
_space_group_IT_number 141
_cell_length_a 5.8340
_cell_length_b 5.8340
_cell_length_c 12.1313
_cell_angle_alpha 90.00
_cell_angle_beta 90.00
_cell_angle_gamma 90.00
loop_
_space_group_symop_operation_xyz
'x,y,z'
'-x,-y,-z'
'-y+1/4,x+3/4,z+1/4'
'y+1/4,-x+3/4,-z+1/4'
'-x+1/2,-y,z+1/2'
'x+1/2,y,-z+1/2'
'y+1/4,-x+1/4,z+3/4'
'-y+1/4,x+1/4,-z+3/4'
'x,-y,-z'
'-x,y,z'
'-y+1/4,-x+1/4,-z+3/4'
'y+1/4,x+1/4,z+3/4'
'-x+1/2,y,-z+1/2'
'x+1/2,-y,z+1/2'
'y+1/4,x+3/4,-z+1/4'
'-y+1/4,-x+3/4,z+1/4'
'x+1/2,y+1/2,z+1/2'
'-x+1/2,-y+1/2,-z+1/2'
'-y+3/4,x+1/4,z+3/4'
'y+3/4,-x+1/4,-z+3/4'
'-x,-y+1/2,z'
'x,y+1/2,-z'
'y+3/4,-x+3/4,z+1/4'
'-y+3/4,x+3/4,-z+1/4'
'x+1/2,-y+1/2,-z+1/2'
'-x+1/2,y+1/2,z+1/2'
'-y+3/4,-x+3/4,-z+1/4'
'y+3/4,x+3/4,z+1/4'
'-x,y+1/2,-z'
'x,-y+1/2,z'
'y+3/4,x+1/4,-z+3/4'
'-y+3/4,-x+1/4,z+3/4'
loop_
_atom_site_label
_atom_site_type_symbol
_atom_site_fract_x
_atom_site_fract_y
_atom_site_fract_z
Mg1 Mg 0.0000 0.2500 0.3750
Al1 Al 0.0000 0.2500 0.1297
Cu1 Cu 0.2352 0.0000 0.0000
Ni1 Ni 0.0000 0.2500 0.8750
```

Density functional theory data (PBE) for a geometry-optimized Sm3AlFeS7 structure.

Summary:
The calculation puts the calculated total energy at -6.158 eV/atom.

Geometry as CIF:
```
data_Sm3AlFeS7
_space_group_name_H-M_alt 'P 1 21 1'
_space_group_IT_number 4
_space_group_name_Hall 'P 2yb'
_cell_length_a 9.7945
_cell_length_b 6.1256
_cell_length_c 9.8211
_cell_angle_alpha 90.00
_cell_angle_beta 119.77
_cell_angle_gamma 90.00
loop_
_atom_site_label
_atom_site_type_symbol
_atom_site_fract_x
_atom_site_fract_y
_atom_site_fract_z
Sm1 Sm 0.1244 0.0000 0.3503
Sm2 Sm 0.2721 0.4987 0.1212
Sm3 Sm 0.3520 0.5001 0.7265
Al1 Al 0.1671 0.9225 0.8329
Fe1 Fe 0.4981 0.8110 0.4964
S1 S 0.0194 0.7719 0.9259
S2 S 0.0747 0.7714 0.5937
S3 S 0.1662 0.2867 0.8321
S4 S 0.2653 0.5752 0.4030
S5 S 0.3610 0.0758 0.2645
S6 S 0.4036 0.0745 0.6386
S7 S 0.4070 0.7716 0.9801
```

Density functional theory data (PBE) for a geometry-optimized Gd2TmAl2Cd4 structure.

Summary:
The calculation puts the calculated total energy at -3.144 eV/atom.

Geometry as CIF:
```
data_Gd2TmAl2Cd4
_space_group_name_H-M_alt 'A m m 2'
_space_group_IT_number 38
_space_group_name_Hall 'A 2 -2'
_cell_length_a 4.5420
_cell_length_b 12.6323
_cell_length_c 7.3650
_cell_angle_alpha 90.00
_cell_angle_beta 90.00
_cell_angle_gamma 90.00
loop_
_atom_site_label
_atom_site_type_symbol
_atom_site_fract_x
_atom_site_fract_y
_atom_site_fract_z
Gd1 Gd 0.0000 0.2137 0.0000
Tm1 Tm 0.0000 0.0000 0.3547
Al1 Al 0.5000 0.1653 0.2856
Cd1 Cd 0.0000 0.0000 0.7794
Cd2 Cd 0.5000 0.0000 0.0362
Cd3 Cd 0.5000 0.1263 0.6585
```

Density functional theory data (PBE) for a geometry-optimized BeZnCuBi structure.

Summary:
The calculation puts the calculated total energy at -2.639 eV/atom. Its polymorph energy (0 for the lowest one) is 50 meV/atom.

Geometry as CIF:
```
data_BeZnCuBi
_space_group_name_H-M_alt 'F -4 3 m'
_space_group_IT_number 216
_space_group_name_Hall 'F -4 2 3'
_cell_length_a 6.5270
_cell_length_b 6.5270
_cell_length_c 6.5270
_cell_angle_alpha 90.00
_cell_angle_beta 90.00
_cell_angle_gamma 90.00
loop_
_atom_site_label
_atom_site_type_symbol
_atom_site_fract_x
_atom_site_fract_y
_atom_site_fract_z
Be1 Be 0.0000 0.0000 0.0000
Zn1 Zn 0.0000 0.0000 0.5000
Cu1 Cu 0.2500 0.2500 0.7500
Bi1 Bi 0.2500 0.2500 0.2500
```